No. 1
The following is a DFT calculation (PBE) of AlPbS2 after structural relaxation.

The structure in CIF format:
```
data_AlPbS2
_cell_length_a 6.1381
_cell_length_b 12.5996
_cell_length_c 5.8203
_cell_angle_alpha 90.00
_cell_angle_beta 104.77
_cell_angle_gamma 90.00
_space_group_name_H-M_alt 'C 1 2/c 1'
_space_group_IT_number 15
loop_
_space_group_symop_operation_xyz
'x,y,z'
'-x,-y,-z'
'-x,y,-z+1/2'
'x,-y,z+1/2'
'x+1/2,y+1/2,z'
'-x+1/2,-y+1/2,-z'
'-x+1/2,y+1/2,-z+1/2'
'x+1/2,-y+1/2,z+1/2'
loop_
_atom_site_label
_atom_site_fract_x
_atom_site_fract_y
_atom_site_fract_z
Al1 0.0000 0.0101 0.2500
Pb1 0.0000 0.2682 0.7500
S1 0.2118 0.0955 0.5689
```

Results
* calculated volume: 27.2 Å³ per atom
* energy: -18.541 eV per formula unit



No. 2
The following is a DFT calculation (PBE) of Tl5Os2O12 after structural relaxation.

The structure in CIF format:
```
data_Tl5Os2O12
_cell_length_a 12.5475
_cell_length_b 5.7398
_cell_length_c 7.8383
_cell_angle_alpha 90.00
_cell_angle_beta 108.01
_cell_angle_gamma 90.00
_space_group_name_H-M_alt 'C 1 2/m 1'
_space_group_IT_number 12
loop_
_space_group_symop_operation_xyz
'x,y,z'
'-x,-y,-z'
'-x,y,-z'
'x,-y,z'
'x+1/2,y+1/2,z'
'-x+1/2,-y+1/2,-z'
'-x+1/2,y+1/2,-z'
'x+1/2,-y+1/2,z'
loop_
_atom_site_label
_atom_site_fract_x
_atom_site_fract_y
_atom_site_fract_z
Tl1 0.0000 0.0000 0.0000
Tl2 0.1895 0.5000 0.3169
Tl3 0.1966 0.5000 0.8655
Os1 0.0000 0.2171 0.5000
O1 0.0016 0.5000 0.3357
O2 0.0035 0.0000 0.3080
O3 0.1492 0.2491 0.0689
O4 0.1591 0.2592 0.5844
```

Results
* calculated volume: 14.1 Å³ per atom
* energy: -108.499 eV per formula unit